DFT (PBEsol) results for a relaxed structure of AlZn2Re.

Results
uncorrected energy = -78.84 eV/cell
E_form = 0.2194 eV per atom
crystal system = cubic
calculated volume = 223.7 Å³/cell

The structure in CIF format:
```
data_AlZn2Re
_chemical_formula_sum 'Al4 Zn8 Re4'
_symmetry_space_group_name_H-M 'F -4 3 m'
_symmetry_Int_Tables_number 216
_symmetry_space_group_name_Hall 'F -4 2 3'
_cell_length_a 6.070
_cell_length_b 6.070
_cell_length_c 6.070
_cell_angle_alpha 90.00
_cell_angle_beta 90.00
_cell_angle_gamma 90.00
loop_
_atom_site_label
_atom_site_fract_x
_atom_site_fract_y
_atom_site_fract_z
Al1 0.000 0.000 0.000
Zn1 0.000 0.000 0.500
Zn2 0.250 0.250 0.250
Re1 0.250 0.250 0.750
```

---

DFT (PBEsol) results for a relaxed structure of ZnSO4.

Results
uncorrected energy = -142.43 eV/cell
crystal system = orthorhombic
calculated volume = 273.7 Å³/cell

The structure in CIF format:
```
data_ZnSO4
_chemical_formula_sum 'Zn4 S4 O16'
_symmetry_space_group_name_H-M 'P n m a'
_symmetry_Int_Tables_number 62
_cell_length_a 8.611
_cell_length_b 6.673
_cell_length_c 4.763
_cell_angle_alpha 90.00
_cell_angle_beta 90.00
_cell_angle_gamma 90.00
loop_
_symmetry_equiv_pos_as_xyz
'x,y,z'
'-x,-y,-z'
'-x+1/2,-y,z+1/2'
'x+1/2,y,-z+1/2'
'x+1/2,-y+1/2,-z+1/2'
'-x+1/2,y+1/2,z+1/2'
'-x,y+1/2,-z'
'x,-y+1/2,z'
loop_
_atom_site_label
_atom_site_fract_x
_atom_site_fract_y
_atom_site_fract_z
Zn1 0.000 0.000 0.000
S1 0.178 0.250 0.472
O1 0.125 0.065 0.334
O2 0.126 0.250 0.770
O3 0.147 0.750 0.953
```

---

DFT (PBEsol) results for a relaxed structure of LaSb2SN.

Results
uncorrected energy = -20.72 eV/cell
crystal system = tetragonal
calculated volume = 204.1 Å³/cell

The structure in CIF format:
```
data_LaSb2SN
_chemical_formula_sum 'La1 Sb2 S1 N1'
_symmetry_space_group_name_H-M 'P 4/m m m'
_symmetry_Int_Tables_number 123
_symmetry_space_group_name_Hall '-P 4 2'
_cell_length_a 6.158
_cell_length_b 6.158
_cell_length_c 5.382
_cell_angle_alpha 90.00
_cell_angle_beta 90.00
_cell_angle_gamma 90.00
loop_
_atom_site_label
_atom_site_fract_x
_atom_site_fract_y
_atom_site_fract_z
La1 0.000 0.000 0.000
Sb1 0.000 0.500 0.000
S1 0.000 0.000 0.500
N1 0.500 0.500 0.500
```

---

DFT (PBEsol) results for a relaxed structure of Cd3Au2.

Results
uncorrected energy = -12.27 eV/cell
E_form = -0.1654 eV per atom
crystal system = trigonal
calculated volume = 102.8 Å³/cell

The structure in CIF format:
```
data_Cd3Au2
_chemical_formula_sum 'Cd3 Au2'
_symmetry_space_group_name_H-M 'P -3 m 1'
_symmetry_Int_Tables_number 164
_symmetry_space_group_name_Hall '-P 3 2"'
_cell_length_a 4.6040
_cell_length_b 4.6040
_cell_length_c 5.5983
_cell_angle_alpha 90.00
_cell_angle_beta 90.00
_cell_angle_gamma 120.00
loop_
_atom_site_label
_atom_site_fract_x
_atom_site_fract_y
_atom_site_fract_z
Cd1 0.0000 0.0000 0.0000
Cd2 0.3333 0.6667 0.3557
Au1 0.3333 0.6667 0.8458
```

---

DFT (PBEsol) results for a relaxed structure of Mg3Sn.

Results
uncorrected energy = -19.50 eV/cell
E_form = -0.0843 eV per atom
crystal system = orthorhombic
calculated volume = 181.9 Å³/cell

The structure in CIF format:
```
data_Mg3Sn
_chemical_formula_sum 'Mg6 Sn2'
_symmetry_space_group_name_H-M 'I m m 2'
_symmetry_Int_Tables_number 44
_cell_length_a 3.288
_cell_length_b 10.296
_cell_length_c 5.373
_cell_angle_alpha 90.00
_cell_angle_beta 90.00
_cell_angle_gamma 90.00
loop_
_symmetry_equiv_pos_as_xyz
'x,y,z'
'-x,-y,z'
'-x,y,z'
'x,-y,z'
'x+1/2,y+1/2,z+1/2'
'-x+1/2,-y+1/2,z+1/2'
'-x+1/2,y+1/2,z+1/2'
'x+1/2,-y+1/2,z+1/2'
loop_
_atom_site_label
_atom_site_fract_x
_atom_site_fract_y
_atom_site_fract_z
Mg1 0.000 0.000 0.000
Mg2 0.000 0.248 0.342
Sn1 0.000 0.500 0.005
```

---

DFT (PBEsol) results for a relaxed structure of Ce4CdPt.

Results
uncorrected energy = -577.94 eV/cell
E_form = -0.2630 eV per atom
crystal system = cubic
calculated volume = 2517.3 Å³/cell

The structure in CIF format:
```
data_Ce4CdPt
_chemical_formula_sum 'Ce64 Cd16 Pt16'
_symmetry_space_group_name_H-M 'F -4 3 m'
_symmetry_Int_Tables_number 216
_symmetry_space_group_name_Hall 'F -4 2 3'
_cell_length_a 13.603
_cell_length_b 13.603
_cell_length_c 13.603
_cell_angle_alpha 90.00
_cell_angle_beta 90.00
_cell_angle_gamma 90.00
loop_
_atom_site_label
_atom_site_fract_x
_atom_site_fract_y
_atom_site_fract_z
Ce1 0.000 0.000 0.184
Ce2 0.051 0.250 0.750
Ce3 0.103 0.103 0.397
Cd1 0.171 0.171 0.171
Pt1 0.108 0.108 0.608
```

---

DFT (PBEsol) results for a relaxed structure of CaHf2TcBr.

Results
uncorrected energy = -26.25 eV/cell
crystal system = tetragonal
calculated volume = 119.9 Å³/cell

The structure in CIF format:
```
data_CaHf2TcBr
_chemical_formula_sum 'Ca1 Hf2 Tc1 Br1'
_symmetry_space_group_name_H-M 'P 4/m m m'
_symmetry_Int_Tables_number 123
_symmetry_space_group_name_Hall '-P 4 2'
_cell_length_a 5.227
_cell_length_b 5.227
_cell_length_c 4.390
_cell_angle_alpha 90.00
_cell_angle_beta 90.00
_cell_angle_gamma 90.00
loop_
_atom_site_label
_atom_site_fract_x
_atom_site_fract_y
_atom_site_fract_z
Ca1 0.000 0.000 0.000
Hf1 0.000 0.500 0.000
Tc1 0.000 0.000 0.500
Br1 0.500 0.500 0.500
```

---

DFT (PBEsol) results for a relaxed structure of K2GaHN.

Results
uncorrected energy = -14.73 eV/cell
crystal system = tetragonal
calculated volume = 91.8 Å³/cell

The structure in CIF format:
```
data_K2GaHN
_chemical_formula_sum 'K2 Ga1 H1 N1'
_symmetry_space_group_name_H-M 'P 4/m m m'
_symmetry_Int_Tables_number 123
_symmetry_space_group_name_Hall '-P 4 2'
_cell_length_a 5.704
_cell_length_b 5.704
_cell_length_c 2.823
_cell_angle_alpha 90.00
_cell_angle_beta 90.00
_cell_angle_gamma 90.00
loop_
_atom_site_label
_atom_site_fract_x
_atom_site_fract_y
_atom_site_fract_z
K1 0.000 0.500 0.000
Ga1 0.000 0.000 0.500
H1 0.500 0.500 0.000
N1 0.500 0.500 0.500
```